No. 1
Nd2P3Au: PBEsol geometry, meta-GGA SCAN.

The space group is Pnma (No. 62) and the conventional cell measures 7.652, 4.118 and 15.896 Å, with angles of 90.00, 90.00 and 90.00 degrees. The asymmetric unit holds Nd at (0.097, 0.250, 0.204), Nd at (0.231, 0.250, 0.472), P at (0.031, 0.250, 0.908), P at (0.122, 0.750, 0.587), P at (0.204, 0.250, 0.799) and Au at (0.012, 0.250, 0.650).

The calculation puts the formation energy from the elements at -1195 meV/atom. Its total magnetization is 0.00 μB per formula unit.

No. 2
ZrAuN2: PBEsol geometry, meta-GGA SCAN.

The space group is R-3m (No. 166, hexagonal axes) and the conventional cell measures 3.2794, 3.2794 and 18.6076 Å, with angles of 90.00, 90.00 and 120.00 degrees. The asymmetric unit holds Zr at (0.0000, 0.0000, 0.0000), Au at (0.0000, 0.0000, 0.5000) and N at (0.0000, 0.0000, 0.1139).

The raw formation energy is 0.750 eV per atom. Its total magnetization is 0.00 μB per formula unit.

No. 3
NaMgZr2Co: PBEsol geometry, meta-GGA SCAN.

The space group is P4/mmm (No. 123) and the conventional cell measures 4.702, 4.702 and 5.281 Å, with angles of 90.00, 90.00 and 90.00 degrees. The asymmetric unit holds Na at (0.000, 0.000, 0.000), Mg at (0.500, 0.500, 0.000), Zr at (0.000, 0.500, 0.500) and Co at (0.000, 0.000, 0.500).

The calculation puts the formation energy from the elements at 454 meV/atom. Its total magnetization is 0.00 μB per formula unit.

No. 4
CdRh2: PBEsol geometry, meta-GGA SCAN.

The space group is I4/mmm (No. 139) and the conventional cell measures 2.782, 2.782 and 11.727 Å, with angles of 90.00, 90.00 and 90.00 degrees. The asymmetric unit holds Cd at (0.000, 0.000, 0.000) and Rh at (0.000, 0.000, 0.322).

The calculation puts the formation energy from the elements at -22 meV/atom. Its total magnetization is 0.77 μB per formula unit.

No. 5
AlIn2Mo: PBEsol geometry, meta-GGA SCAN.

The space group is Pmm2 (No. 25) and the conventional cell measures 2.956, 4.831 and 5.115 Å, with angles of 90.00, 90.00 and 90.00 degrees. The asymmetric unit holds Al at (0.000, 0.000, 0.000), In at (0.500, 0.000, 0.473), In at (0.500, 0.500, 0.798) and Mo at (0.000, 0.500, 0.279).

The calculation puts the formation energy from the elements at 194 meV/atom. Its total magnetization is 0.00 μB per formula unit.

No. 6
CsPH: PBEsol geometry, meta-GGA SCAN.

The space group is P1 (No. 1) and the conventional cell measures 5.370, 6.199 and 6.464 Å, with angles of 88.21, 65.54 and 68.68 degrees. The asymmetric unit holds Cs at (0.000, 0.000, 0.000), Cs at (0.055, 0.457, 0.490), P at (0.393, 0.374, 0.867), P at (0.684, 0.059, 0.621), H at (0.419, 0.559, 0.723) and H at (0.495, 0.015, 0.530).

The calculated total energy comes out at -17.65 eV per atom. Its total magnetization is 0.00 μB per formula unit.

No. 7
Sc3GeP: PBEsol geometry, meta-GGA SCAN.

The space group is Pm-3m (No. 221) and the conventional cell measures 4.900, 4.900 and 4.900 Å, with angles of 90.00, 90.00 and 90.00 degrees. The asymmetric unit holds Sc at (0.000, 0.000, 0.500), Ge at (0.000, 0.000, 0.000) and P at (0.500, 0.500, 0.500).

The calculation puts the formation energy from the elements at -155 meV/atom. Its total magnetization is 0.00 μB per formula unit.

No. 8
La2ScPb2: PBEsol geometry, meta-GGA SCAN.

The space group is P4/mbm (No. 127) and the conventional cell measures 7.963, 7.963 and 4.747 Å, with angles of 90.00, 90.00 and 90.00 degrees. The asymmetric unit holds La at (0.170, 0.330, 0.000), Sc at (0.000, 0.000, 0.500) and Pb at (0.138, 0.638, 0.500).

The calculation puts the formation energy from the elements at -788 meV/atom. Its total magnetization is 0.00 μB per formula unit.

No. 9
Tc2HgAs: PBEsol geometry, meta-GGA SCAN.

The space group is F-43m (No. 216) and the conventional cell measures 6.365, 6.365 and 6.365 Å, with angles of 90.00, 90.00 and 90.00 degrees. The asymmetric unit holds Tc at (0.000, 0.000, 0.000), Tc at (0.250, 0.250, 0.250), Hg at (0.250, 0.250, 0.750) and As at (0.000, 0.000, 0.500).

The calculation puts the formation energy from the elements at 678 meV/atom. Its total magnetization is 0.00 μB per formula unit.

No. 10
ScAgSe: PBEsol geometry, meta-GGA SCAN.

The space group is I4mm (No. 107) and the conventional cell measures 3.334, 3.334 and 10.693 Å, with angles of 90.00, 90.00 and 90.00 degrees. The asymmetric unit holds Sc at (0.000, 0.000, 0.000), Ag at (0.000, 0.000, 0.318) and Se at (0.000, 0.000, 0.623).

The raw formation energy is -0.744 eV per atom. Its total magnetization is 0.00 μB per formula unit.

No. 11
MgP3Ru: PBEsol geometry, meta-GGA SCAN.

The space group is Pm-3m (No. 221) and the conventional cell measures 4.536, 4.536 and 4.536 Å, with angles of 90.00, 90.00 and 90.00 degrees. The asymmetric unit holds Mg at (0.000, 0.000, 0.000), P at (0.000, 0.000, 0.500) and Ru at (0.500, 0.500, 0.500).

The calculation puts the formation energy from the elements at 1542 meV/atom. Its total magnetization is 1.91 μB per formula unit.

No. 12
NaTaN2: PBEsol geometry, meta-GGA SCAN.

The space group is I-42d (No. 122) and the conventional cell measures 5.325, 5.325 and 8.786 Å, with angles of 90.00, 90.00 and 90.00 degrees. The asymmetric unit holds Na at (0.000, 0.000, 0.000), Ta at (0.000, 0.000, 0.500) and N at (0.165, 0.750, 0.625).

The raw formation energy is -1.095 eV per atom. Its total magnetization is 0.00 μB per formula unit.

No. 13
NaSrCoB2: PBEsol geometry, meta-GGA SCAN.

The space group is P4/mmm (No. 123) and the conventional cell measures 4.445, 4.445 and 4.938 Å, with angles of 90.00, 90.00 and 90.00 degrees. The asymmetric unit holds Na at (0.000, 0.000, 0.000), Sr at (0.000, 0.000, 0.500), Co at (0.500, 0.500, 0.500) and B at (0.000, 0.500, 0.000).

The calculation puts the formation energy from the elements at 2218 meV/atom. Its total magnetization is 2.11 μB per formula unit.

No. 14
TaNiC3: PBEsol geometry, meta-GGA SCAN.

The space group is Pm-3m (No. 221) and the conventional cell measures 4.098, 4.098 and 4.098 Å, with angles of 90.00, 90.00 and 90.00 degrees. The asymmetric unit holds Ta at (0.000, 0.000, 0.000), Ni at (0.500, 0.500, 0.500) and C at (0.000, 0.000, 0.500).

The calculation puts the formation energy from the elements at 2230 meV/atom. Its total magnetization is 1.24 μB per formula unit.

No. 15
LiAgF4: PBEsol geometry, meta-GGA SCAN.

The space group is C2/m (No. 12) and the conventional cell measures 6.713, 6.318 and 3.501 Å, with angles of 90.00, 98.52 and 90.00 degrees. The asymmetric unit holds Li at (0.000, 0.000, 0.000), Ag at (0.000, 0.500, 0.500), F at (0.000, 0.195, 0.500) and F at (0.208, 0.500, 0.943).

The raw formation energy is -1.842 eV per atom. For the energy above the lowest structure with this stoichiometry, the calculation gives 10 meV/atom. Its total magnetization is 0.00 μB per formula unit.

No. 16
TlInAg2: PBEsol geometry, meta-GGA SCAN.

The space group is F-43m (No. 216) and the conventional cell measures 6.953, 6.953 and 6.953 Å, with angles of 90.00, 90.00 and 90.00 degrees. The asymmetric unit holds Tl at (0.000, 0.000, 0.000), In at (0.250, 0.250, 0.250), Ag at (0.000, 0.000, 0.500) and Ag at (0.250, 0.250, 0.750).

The calculation puts the formation energy from the elements at 188 meV/atom. Its total magnetization is 0.00 μB per formula unit.

No. 17
BaAlMo: PBEsol geometry, meta-GGA SCAN.

The space group is P3m1 (No. 156) and the conventional cell measures 3.0789, 3.0789 and 8.0792 Å, with angles of 90.00, 90.00 and 120.00 degrees. The asymmetric unit holds Ba at (0.0000, 0.0000, 0.0000), Al at (0.3333, 0.6667, 0.3799) and Mo at (0.6667, 0.3333, 0.6345).

The calculation puts the formation energy from the elements at 924 meV/atom. Its total magnetization is 0.00 μB per formula unit.

No. 18
TaIr4: PBEsol geometry, meta-GGA SCAN.

The space group is Im-3m (No. 229) and the conventional cell measures 5.696, 5.696 and 5.696 Å, with angles of 90.00, 90.00 and 90.00 degrees. The asymmetric unit holds Ta at (0.000, 0.000, 0.000) and Ir at (0.250, 0.250, 0.250).

The calculation puts the formation energy from the elements at 958 meV/atom. For the energy above the lowest structure with this stoichiometry, the calculation gives 1426 meV/atom. Its total magnetization is 0.00 μB per formula unit.

No. 19
AlFeHg2: PBEsol geometry, meta-GGA SCAN.

The space group is I4/mmm (No. 139) and the conventional cell measures 4.015, 4.015 and 8.296 Å, with angles of 90.00, 90.00 and 90.00 degrees. The asymmetric unit holds Al at (0.000, 0.000, 0.000), Fe at (0.000, 0.000, 0.500) and Hg at (0.000, 0.500, 0.250).

The calculation puts the formation energy from the elements at 283 meV/atom. Its total magnetization is 2.46 μB per formula unit.

No. 20
Y2MgCdF: PBEsol geometry, meta-GGA SCAN.

The space group is P4/mmm (No. 123) and the conventional cell measures 5.833, 5.833 and 4.360 Å, with angles of 90.00, 90.00 and 90.00 degrees. The asymmetric unit holds Y at (0.000, 0.500, 0.000), Mg at (0.000, 0.000, 0.500), Cd at (0.500, 0.500, 0.000) and F at (0.500, 0.500, 0.500).

The raw formation energy is -0.055 eV per atom. Its total magnetization is 2.34 μB per formula unit.

No. 21
KNiP: PBEsol geometry, meta-GGA SCAN.

The space group is F-43m (No. 216) and the conventional cell measures 6.335, 6.335 and 6.335 Å, with angles of 90.00, 90.00 and 90.00 degrees. The asymmetric unit holds K at (0.000, 0.000, 0.000), Ni at (0.000, 0.000, 0.500) and P at (0.250, 0.250, 0.250).

The calculation puts the formation energy from the elements at 636 meV/atom. Its total magnetization is 2.01 μB per formula unit.

No. 22
TaHO2: PBEsol geometry, meta-GGA SCAN.

The space group is R-3m (No. 166, hexagonal axes) and the conventional cell measures 2.9537, 2.9537 and 16.7039 Å, with angles of 90.00, 90.00 and 120.00 degrees. The asymmetric unit holds Ta at (0.0000, 0.0000, 0.0000), H at (0.0000, 0.0000, 0.5000) and O at (0.0000, 0.0000, 0.1113).

The calculated total energy comes out at -20.76 eV per atom. Its total magnetization is 0.20 μB per formula unit.

No. 23
DyCu5Sn: PBEsol geometry, meta-GGA SCAN.

The space group is Pnma (No. 62) and the conventional cell measures 8.092, 4.903 and 10.432 Å, with angles of 90.00, 90.00 and 90.00 degrees. The asymmetric unit holds Dy at (0.250, 0.250, 0.062), Cu at (0.058, 0.250, 0.602), Cu at (0.069, 0.501, 0.812), Cu at (0.084, 0.750, 0.017), Cu at (0.183, 0.750, 0.242) and Sn at (0.138, 0.250, 0.361).

The calculation puts the formation energy from the elements at -293 meV/atom. Its total magnetization is 0.00 μB per formula unit.

No. 24
LiSb2Pb2: PBEsol geometry, meta-GGA SCAN.

The space group is P4/mbm (No. 127) and the conventional cell measures 7.232, 7.232 and 5.273 Å, with angles of 90.00, 90.00 and 90.00 degrees. The asymmetric unit holds Li at (0.000, 0.000, 0.000), Sb at (0.138, 0.362, 0.000) and Pb at (0.183, 0.683, 0.500).

The raw formation energy is -0.063 eV per atom. For the energy above the lowest structure with this stoichiometry, the calculation gives 0 meV/atom. Its total magnetization is 0.00 μB per formula unit.

No. 25
Tl2Hg2Sb: PBEsol geometry, meta-GGA SCAN.

The space group is I4/mmm (No. 139) and the conventional cell measures 4.014, 4.014 and 17.696 Å, with angles of 90.00, 90.00 and 90.00 degrees. The asymmetric unit holds Tl at (0.000, 0.000, 0.096), Hg at (0.000, 0.500, 0.250) and Sb at (0.000, 0.000, 0.500).

The raw formation energy is 0.086 eV per atom. For the energy above the lowest structure with this stoichiometry, the calculation gives 67 meV/atom. Its total magnetization is 0.00 μB per formula unit.

No. 26
SrAg2Ir: PBEsol geometry, meta-GGA SCAN.

The space group is Pmmm (No. 47) and the conventional cell measures 2.983, 4.180 and 6.201 Å, with angles of 90.00, 90.00 and 90.00 degrees. The asymmetric unit holds Sr at (0.000, 0.000, 0.000), Ag at (0.500, 0.500, 0.292) and Ir at (0.000, 0.000, 0.500).

The calculation puts the formation energy from the elements at 321 meV/atom. For the energy above the lowest structure with this stoichiometry, the calculation gives 256 meV/atom. Its total magnetization is 0.51 μB per formula unit.